# 1
Material: EuAlBi
Method: DFT, PBE
State: optimized geometry

Computed properties:
Its space group is P3m1, No. 156. Its magnetization is 7.0 μB per cell.

The structure in CIF format:
```
data_EuAlBi
_chemical_formula_sum 'Eu1 Al1 Bi1'
_space_group_name_H-M_alt 'P 1'
_space_group_IT_number 1
_cell_length_a 4.895
_cell_length_b 4.616
_cell_length_c 4.616
_cell_angle_alpha 120.00
_cell_angle_beta 90.00
_cell_angle_gamma 90.00
loop_
_space_group_symop_operation_xyz
'x,y,z'
loop_
_atom_site_label
_atom_site_type_symbol
_atom_site_fract_x
_atom_site_fract_y
_atom_site_fract_z
_atom_site_occupancy
Eu1 Eu 0.693 0.667 0.333 1
Al1 Al 0.040 0.000 0.000 1
Bi1 Bi 0.268 0.333 0.667 1
```

---

# 2
Material: EuAlHgBi
Method: DFT, PBE
State: optimized geometry

Computed properties:
Its space group is F-43m, No. 216. Its magnetization is 7.1 μB per cell.

The structure in CIF format:
```
data_EuAlHgBi
_chemical_formula_sum 'Eu1 Al1 Hg1 Bi1'
_space_group_name_H-M_alt 'P 1'
_space_group_IT_number 1
_cell_length_a 5.404
_cell_length_b 5.404
_cell_length_c 5.404
_cell_angle_alpha 60.00
_cell_angle_beta 60.00
_cell_angle_gamma 60.00
loop_
_space_group_symop_operation_xyz
'x,y,z'
loop_
_atom_site_label
_atom_site_type_symbol
_atom_site_fract_x
_atom_site_fract_y
_atom_site_fract_z
_atom_site_occupancy
Bi1 Bi 0.500 0.500 0.500 1
Hg1 Hg 0.000 0.000 0.000 1
Eu1 Eu 0.750 0.750 0.750 1
Al1 Al 0.250 0.250 0.250 1
```

---

# 3
Material: Al2Bi2F
Method: DFT, PBE
State: optimized geometry

Computed properties:
Its space group is P4/mbm, No. 127. As for the energy relative to the elements, uncorrected: -464 meV per atom. Its magnetization is 0.0 μB per cell. Its distance to the lowest polymorph of the same formula is 0.0000 eV per atom.

The structure in CIF format:
```
data_Al2Bi2F
_chemical_formula_sum 'Al4 Bi4 F2'
_space_group_name_H-M_alt 'P 1'
_space_group_IT_number 1
_cell_length_a 6.383
_cell_length_b 6.383
_cell_length_c 5.559
_cell_angle_alpha 90.00
_cell_angle_beta 90.00
_cell_angle_gamma 90.00
loop_
_space_group_symop_operation_xyz
'x,y,z'
loop_
_atom_site_label
_atom_site_type_symbol
_atom_site_fract_x
_atom_site_fract_y
_atom_site_fract_z
_atom_site_occupancy
F1 F 0.000 0.000 0.000 1
F2 F 0.500 0.500 0.000 1
Al1 Al 0.155 0.345 0.000 1
Al2 Al 0.345 0.845 0.000 1
Al3 Al 0.655 0.155 0.000 1
Al4 Al 0.845 0.655 0.000 1
Bi1 Bi 0.240 0.740 0.500 1
Bi2 Bi 0.760 0.260 0.500 1
Bi3 Bi 0.740 0.760 0.500 1
Bi4 Bi 0.260 0.240 0.500 1
```

---

# 4
Material: AlBiF2
Method: DFT, PBE
State: optimized geometry

Computed properties:
Its space group is Fd-3m, No. 227. As for the energy relative to the elements, uncorrected: -1705 meV per atom. Its magnetization is 0.0 μB per cell. Its distance to the lowest polymorph of the same formula is 0.0000 eV per atom.

The structure in CIF format:
```
data_AlBiF2
_chemical_formula_sum 'Al2 Bi2 F4'
_space_group_name_H-M_alt 'P 1'
_space_group_IT_number 1
_cell_length_a 5.945
_cell_length_b 5.945
_cell_length_c 5.945
_cell_angle_alpha 60.00
_cell_angle_beta 60.00
_cell_angle_gamma 60.00
loop_
_space_group_symop_operation_xyz
'x,y,z'
loop_
_atom_site_label
_atom_site_type_symbol
_atom_site_fract_x
_atom_site_fract_y
_atom_site_fract_z
_atom_site_occupancy
Al1 Al 0.500 0.500 0.500 1
Al2 Al 0.750 0.750 0.750 1
F1 F 0.625 0.625 0.125 1
F2 F 0.625 0.625 0.625 1
F3 F 0.625 0.125 0.625 1
F4 F 0.125 0.625 0.625 1
Bi1 Bi 0.000 0.000 0.000 1
Bi2 Bi 0.250 0.250 0.250 1
```

---

# 5
Material: AlBiF2
Method: DFT, PBE
State: optimized geometry

Computed properties:
Its space group is Fm-3m, No. 225. As for the energy relative to the elements, uncorrected: -889 meV per atom. Its magnetization is 0.0 μB per cell. Its distance to the lowest polymorph of the same formula is 0.8165 eV per atom.

The structure in CIF format:
```
data_AlBiF2
_chemical_formula_sum 'Al1 Bi1 F2'
_space_group_name_H-M_alt 'P 1'
_space_group_IT_number 1
_cell_length_a 4.585
_cell_length_b 4.585
_cell_length_c 4.585
_cell_angle_alpha 60.00
_cell_angle_beta 60.00
_cell_angle_gamma 60.00
loop_
_space_group_symop_operation_xyz
'x,y,z'
loop_
_atom_site_label
_atom_site_type_symbol
_atom_site_fract_x
_atom_site_fract_y
_atom_site_fract_z
_atom_site_occupancy
F1 F 0.250 0.250 0.250 1
F2 F 0.750 0.750 0.750 1
Bi1 Bi 0.500 0.500 0.500 1
Al1 Al 0.000 0.000 0.000 1
```

---

# 6
Material: Al2BiF
Method: DFT, PBE
State: optimized geometry

Computed properties:
Its space group is I-42d, No. 122. As for the energy relative to the elements, uncorrected: -574 meV per atom. Its magnetization is 0.0 μB per cell. Its distance to the lowest polymorph of the same formula is 0.0000 eV per atom.

The structure in CIF format:
```
data_Al2BiF
_chemical_formula_sum 'Al4 Bi2 F2'
_space_group_name_H-M_alt 'P 1'
_space_group_IT_number 1
_cell_length_a 5.011
_cell_length_b 5.011
_cell_length_c 7.875
_cell_angle_alpha 71.45
_cell_angle_beta 71.45
_cell_angle_gamma 90.00
loop_
_space_group_symop_operation_xyz
'x,y,z'
loop_
_atom_site_label
_atom_site_type_symbol
_atom_site_fract_x
_atom_site_fract_y
_atom_site_fract_z
_atom_site_occupancy
Bi1 Bi 0.000 0.000 0.000 1
Bi2 Bi 0.750 0.250 0.500 1
Al1 Al 0.375 0.515 0.750 1
Al2 Al 0.485 0.125 0.250 1
Al3 Al 0.265 0.625 0.250 1
Al4 Al 0.875 0.735 0.750 1
F1 F 0.500 0.500 0.000 1
F2 F 0.250 0.750 0.500 1
```

---

# 7
Material: Al3BiF
Method: DFT, PBE
State: optimized geometry

Computed properties:
Its space group is Pm-3m, No. 221. As for the energy relative to the elements, uncorrected: 651 meV per atom. Its magnetization is 0.0 μB per cell. Its distance to the lowest polymorph of the same formula is 0.8822 eV per atom.

The structure in CIF format:
```
data_Al3BiF
_chemical_formula_sum 'Al3 Bi1 F1'
_space_group_name_H-M_alt 'P 1'
_space_group_IT_number 1
_cell_length_a 5.779
_cell_length_b 5.779
_cell_length_c 5.779
_cell_angle_alpha 90.00
_cell_angle_beta 90.00
_cell_angle_gamma 90.00
loop_
_space_group_symop_operation_xyz
'x,y,z'
loop_
_atom_site_label
_atom_site_type_symbol
_atom_site_fract_x
_atom_site_fract_y
_atom_site_fract_z
_atom_site_occupancy
Al1 Al 0.000 0.000 0.500 1
Al2 Al 0.000 0.500 0.000 1
Al3 Al 0.500 0.000 0.000 1
Bi1 Bi 0.000 0.000 0.000 1
F1 F 0.500 0.500 0.500 1
```

---

# 8
Material: Al2Bi2F
Method: DFT, PBE
State: optimized geometry

Computed properties:
Its space group is I4/mmm, No. 139. As for the energy relative to the elements, uncorrected: -162 meV per atom. Its magnetization is 0.0 μB per cell. Its distance to the lowest polymorph of the same formula is 0.3024 eV per atom.

The structure in CIF format:
```
data_Al2Bi2F
_chemical_formula_sum 'Al2 Bi2 F1'
_space_group_name_H-M_alt 'P 1'
_space_group_IT_number 1
_cell_length_a 4.774
_cell_length_b 4.774
_cell_length_c 6.770
_cell_angle_alpha 69.36
_cell_angle_beta 69.36
_cell_angle_gamma 90.00
loop_
_space_group_symop_operation_xyz
'x,y,z'
loop_
_atom_site_label
_atom_site_type_symbol
_atom_site_fract_x
_atom_site_fract_y
_atom_site_fract_z
_atom_site_occupancy
F1 F 0.000 0.000 0.000 1
Bi1 Bi 0.250 0.750 0.500 1
Bi2 Bi 0.750 0.250 0.500 1
Al1 Al 0.394 0.394 0.212 1
Al2 Al 0.606 0.606 0.788 1
```

---

How do the records compare in VASP energy? In the order shown, they have -6.326; -4.784; -3.888; -4.547; -3.730; -3.883; -2.745; -3.586 eV/atom.